# Na4PrEr3Se8

A geometry-optimized Na4PrEr3Se8 structure (PBE-GGA, the Alexandria database).

```
16
Lattice="4.1653 2.4049 7.0120 -4.1653 2.4049 7.0120 0.0000 -4.8097 7.0120" Properties=species:S:1:pos:R:3 pbc="T T T"
Na 0.0000 0.0000 0.0000
Na -2.0827 -1.2024 7.0120
Na -2.0827 1.2024 14.0241
Na 0.0000 2.4048 7.0120
Pr 0.0000 0.0000 10.5181
Er -4.1653 0.0000 10.5181
Er -2.0827 1.2024 3.5060
Er 2.0827 1.2024 3.5060
Se -2.1475 -1.2399 12.1390
Se 0.0000 0.0000 5.0923
Se 0.0000 -2.4798 8.8971
Se -2.1475 1.2399 8.8971
Se 2.1475 -1.2399 12.1390
Se 0.0000 2.4798 12.1390
Se 0.0000 0.0000 15.9439
Se 2.1475 1.2399 8.8971
```

***

# NaPrEr4Se8

A geometry-optimized NaPrEr4Se8 structure (PBE-GGA, the Alexandria database).

```
14
Lattice="4.2019 2.4259 7.0236 -4.2019 2.4259 7.0236 0.0000 -4.8519 7.0236" Properties=species:S:1:pos:R:3 pbc="T T T"
Na 0.0000 0.0000 0.0000
Pr 0.0000 0.0000 7.7424
Er 0.0000 -2.5222 11.3799
Er -2.1843 1.2611 11.3799
Er 0.0000 0.0000 15.7037
Er 2.1843 1.2611 11.3799
Se 0.0000 -2.2794 5.9222
Se -1.9740 1.1397 5.9222
Se 0.0000 0.0000 2.8025
Se -2.0156 -1.1637 9.7177
Se 1.9740 1.1397 5.9222
Se 0.0000 0.0000 12.9237
Se 2.0156 -1.1637 9.7176
Se 0.0000 2.3274 9.7176
```

***

no.,ΔE_f (raw) (eV per formula unit)
1,-27.058
2,-24.532